Entry 1:
# Ti2CrBrN (PBEsol, optimized geometry)
# E_form (uncorrected)	-0.34	eV per atom
data_Ti2CrBrN
_cell_length_a 4.311
_cell_length_b 4.311
_cell_length_c 3.622
_cell_angle_alpha 90.00
_cell_angle_beta 90.00
_cell_angle_gamma 90.00
_space_group_name_H-M_alt 'P 4/m m m'
_space_group_IT_number 123
_space_group_name_Hall '-P 4 2'
loop_
_atom_site_label
_atom_site_type_symbol
_atom_site_fract_x
_atom_site_fract_y
_atom_site_fract_z
Ti1 Ti 0.000 0.500 0.000
Cr1 Cr 0.000 0.000 0.500
Br1 Br 0.500 0.500 0.500
N1 N 0.000 0.000 0.000

Entry 2:
# TcBr2N (PBEsol, optimized geometry)
# E_form (uncorrected)	1.53	eV per atom
# energy relative to the lowest polymorph listed for this composition	123	meV/atom
data_TcBr2N
_cell_length_a 6.199
_cell_length_b 6.199
_cell_length_c 6.199
_cell_angle_alpha 90.00
_cell_angle_beta 90.00
_cell_angle_gamma 90.00
_space_group_name_H-M_alt 'F m -3 m'
_space_group_IT_number 225
_space_group_name_Hall '-F 4 2 3'
loop_
_atom_site_label
_atom_site_type_symbol
_atom_site_fract_x
_atom_site_fract_y
_atom_site_fract_z
Tc1 Tc 0.000 0.000 0.000
Br1 Br 0.250 0.250 0.250
N1 N 0.000 0.000 0.500

Q: The lowest E_form (uncorrected) belongs to which entry?
A: Ti2CrBrN